Entry 1:
VASP calculation (PBE-GGA) on crystalline Mn2TlCl at its relaxed geometry.

Cell lengths 5.0111, 5.0111, 3.2468 Å; angles 90.00, 90.00, 103.37 degrees
Last column: nearest neighbours and their distance in Å.
Element x y z (fractional)
Tl (0.5000, 0.0000, 0.5000)  8 Mn 2.99, 2 Cl 3.11, 2 Tl 3.25
Mn (0.0000, 0.0000, 0.0000)  4 Cl 2.99, 4 Tl 2.99, 4 Mn 3.11-3.25
Mn (0.5000, 0.5000, 0.0000)  4 Tl 2.99, 4 Cl 2.99, 4 Mn 3.11-3.25
Cl (0.0000, 0.5000, 0.5000)  8 Mn 2.99, 2 Tl 3.11, 2 Cl 3.25

Values from the calculation:
DOS at the Fermi energy in states/eV/cell: 3.350
ΔE_f (raw) in kJ/mol of atoms: 39.90
Mass density in Mg/m³: 7.3
Electronic total energy in eV/cell: -20.9
E above lowest polymorph in meV/atom: 312

Entry 2:
VASP calculation (PBE-GGA) on crystalline MnTl3Cl at its relaxed geometry.

Cell lengths 5.7791, 5.7791, 5.7791 Å; angles 90.00, 90.00, 90.00 degrees
Last column: nearest neighbours and their distance in Å.
Element x y z (fractional)
Tl (0.5000, 0.0000, 0.0000)  2 Cl 2.89
Tl (0.0000, 0.5000, 0.0000)  2 Cl 2.89
Tl (0.0000, 0.0000, 0.5000)  2 Cl 2.89
Cl (0.0000, 0.0000, 0.0000)  6 Tl 2.89
Mn (0.5000, 0.5000, 0.5000)  12 Tl 4.09

Values from the calculation:
DOS at the Fermi energy in states/eV/cell: 3.778
ΔE_f (raw) in kJ/mol of atoms: 39.86
Mass density in Mg/m³: 6.1
Electronic total energy in eV/cell: -16.0
E above lowest polymorph in meV/atom: 364